Entry P
SrP2ClO: relaxed, PBE.

```
data_SrP2ClO
_chemical_formula_sum 'Sr1 P2 Cl1 O1'
_space_group_name_H-M_alt 'P 1'
_space_group_IT_number 1
_cell_length_a 4.0277
_cell_length_b 4.0277
_cell_length_c 6.1721
_cell_angle_alpha 90.00
_cell_angle_beta 90.00
_cell_angle_gamma 90.00
loop_
_space_group_symop_operation_xyz
'x,y,z'
loop_
_atom_site_label
_atom_site_type_symbol
_atom_site_fract_x
_atom_site_fract_y
_atom_site_fract_z
Sr1 Sr 0.0000 0.0000 0.0000
P1 P 0.0000 0.5000 0.5000
P2 P 0.5000 0.0000 0.5000
Cl1 Cl 0.5000 0.5000 0.0000
O1 O 0.5000 0.5000 0.5000
```

Output
spin magnetization = 0.00 μB/atom
space group = P4/mmm, No. 123



Entry Q
SrP2ClO: relaxed, PBE.

```
data_SrP2ClO
_chemical_formula_sum 'Sr1 P2 Cl1 O1'
_space_group_name_H-M_alt 'P 1'
_space_group_IT_number 1
_cell_length_a 6.3323
_cell_length_b 6.3323
_cell_length_c 5.5070
_cell_angle_alpha 90.00
_cell_angle_beta 90.00
_cell_angle_gamma 90.00
loop_
_space_group_symop_operation_xyz
'x,y,z'
loop_
_atom_site_label
_atom_site_type_symbol
_atom_site_fract_x
_atom_site_fract_y
_atom_site_fract_z
Sr1 Sr 0.0000 0.0000 0.0000
P1 P 0.0000 0.5000 0.0000
P2 P 0.5000 0.0000 0.0000
Cl1 Cl 0.0000 0.0000 0.5000
O1 O 0.5000 0.5000 0.5000
```

Output
spin magnetization = 0.66 μB/atom
space group = P4/mmm, No. 123



Computed relative energies in units of eV/atom: entry P 0.000; entry Q 1.543



Entry P
SrP2ClO: relaxed, PBE.

```
data_SrP2ClO
_chemical_formula_sum 'Sr1 P2 Cl1 O1'
_space_group_name_H-M_alt 'P 1'
_space_group_IT_number 1
_cell_length_a 6.3239
_cell_length_b 6.3239
_cell_length_c 4.4046
_cell_angle_alpha 90.00
_cell_angle_beta 90.00
_cell_angle_gamma 90.00
loop_
_space_group_symop_operation_xyz
'x,y,z'
loop_
_atom_site_label
_atom_site_type_symbol
_atom_site_fract_x
_atom_site_fract_y
_atom_site_fract_z
Sr1 Sr 0.0000 0.0000 0.0000
P1 P 0.0000 0.5000 0.0000
P2 P 0.5000 0.0000 0.0000
Cl1 Cl 0.5000 0.5000 0.5000
O1 O 0.0000 0.0000 0.5000
```

Output
spin magnetization = 1.13 μB/atom
space group = P4/mmm, No. 123



Entry Q
SrP2ClO: relaxed, PBE.

```
data_SrP2ClO
_chemical_formula_sum 'Sr1 P2 Cl1 O1'
_space_group_name_H-M_alt 'P 1'
_space_group_IT_number 1
_cell_length_a 4.6468
_cell_length_b 4.6468
_cell_length_c 4.6669
_cell_angle_alpha 90.00
_cell_angle_beta 90.00
_cell_angle_gamma 90.00
loop_
_space_group_symop_operation_xyz
'x,y,z'
loop_
_atom_site_label
_atom_site_type_symbol
_atom_site_fract_x
_atom_site_fract_y
_atom_site_fract_z
Sr1 Sr 0.0000 0.0000 0.0000
P1 P 0.0000 0.5000 0.5000
P2 P 0.5000 0.0000 0.5000
Cl1 Cl 0.5000 0.5000 0.5000
O1 O 0.5000 0.5000 0.0000
```

Output
spin magnetization = 0.30 μB/atom
space group = P4/mmm, No. 123



Computed relative energies in units of eV/atom: entry P 0.412; entry Q 0.000



Entry P
SrPCl2O: relaxed, PBE.

```
data_SrPCl2O
_chemical_formula_sum 'Sr1 P1 Cl2 O1'
_space_group_name_H-M_alt 'P 1'
_space_group_IT_number 1
_cell_length_a 5.5297
_cell_length_b 5.5297
_cell_length_c 7.5227
_cell_angle_alpha 90.00
_cell_angle_beta 90.00
_cell_angle_gamma 90.00
loop_
_space_group_symop_operation_xyz
'x,y,z'
loop_
_atom_site_label
_atom_site_type_symbol
_atom_site_fract_x
_atom_site_fract_y
_atom_site_fract_z
Sr1 Sr 0.0000 0.0000 0.0000
P1 P 0.0000 0.0000 0.5000
Cl1 Cl 0.0000 0.5000 0.0000
Cl2 Cl 0.5000 0.0000 0.0000
O1 O 0.5000 0.5000 0.5000
```

Output
spin magnetization = 0.21 μB/atom
space group = P4/mmm, No. 123



Entry Q
SrPCl2O: relaxed, PBE.

```
data_SrPCl2O
_chemical_formula_sum 'Sr1 P1 Cl2 O1'
_space_group_name_H-M_alt 'P 1'
_space_group_IT_number 1
_cell_length_a 5.6203
_cell_length_b 5.6203
_cell_length_c 3.4727
_cell_angle_alpha 90.00
_cell_angle_beta 90.00
_cell_angle_gamma 90.00
loop_
_space_group_symop_operation_xyz
'x,y,z'
loop_
_atom_site_label
_atom_site_type_symbol
_atom_site_fract_x
_atom_site_fract_y
_atom_site_fract_z
Sr1 Sr 0.0000 0.0000 0.0000
P1 P 0.5000 0.5000 0.0000
Cl1 Cl 0.0000 0.5000 0.5000
Cl2 Cl 0.5000 0.0000 0.5000
O1 O 0.5000 0.5000 0.5000
```

Output
spin magnetization = 0.00 μB/atom
space group = P4/mmm, No. 123



Computed relative energies in units of eV/atom: entry P 0.939; entry Q 0.000



Entry P
TaPCl2O: relaxed, PBE.

```
data_TaPCl2O
_chemical_formula_sum 'Ta1 P1 Cl2 O1'
_space_group_name_H-M_alt 'P 1'
_space_group_IT_number 1
_cell_length_a 4.7389
_cell_length_b 4.7389
_cell_length_c 4.9245
_cell_angle_alpha 90.00
_cell_angle_beta 90.00
_cell_angle_gamma 90.00
loop_
_space_group_symop_operation_xyz
'x,y,z'
loop_
_atom_site_label
_atom_site_type_symbol
_atom_site_fract_x
_atom_site_fract_y
_atom_site_fract_z
Ta1 Ta 0.0000 0.0000 0.0000
P1 P 0.0000 0.0000 0.5000
Cl1 Cl 0.0000 0.5000 0.0000
Cl2 Cl 0.5000 0.0000 0.0000
O1 O 0.5000 0.5000 0.5000
```

Output
spin magnetization = 0.05 μB/atom
space group = P4/mmm, No. 123



Entry Q
TaPCl2O: relaxed, PBE.

```
data_TaPCl2O
_chemical_formula_sum 'Ta1 P1 Cl2 O1'
_space_group_name_H-M_alt 'P 1'
_space_group_IT_number 1
_cell_length_a 4.3176
_cell_length_b 4.3176
_cell_length_c 4.1634
_cell_angle_alpha 90.00
_cell_angle_beta 90.00
_cell_angle_gamma 90.00
loop_
_space_group_symop_operation_xyz
'x,y,z'
loop_
_atom_site_label
_atom_site_type_symbol
_atom_site_fract_x
_atom_site_fract_y
_atom_site_fract_z
Ta1 Ta 0.0000 0.0000 0.0000
P1 P 0.5000 0.5000 0.0000
Cl1 Cl 0.0000 0.5000 0.5000
Cl2 Cl 0.5000 0.0000 0.5000
O1 O 0.5000 0.5000 0.5000
```

Output
spin magnetization = 0.00 μB/atom
space group = P4/mmm, No. 123



Computed relative energies in units of eV/atom: entry P 0.000; entry Q 0.606